# 1
Computed, not measured: a relaxed Pa3AlN6 crystal at the PBE level of DFT.

```
Pa3AlN6
1.0
-3.814 0.794 -3.990
2.282 -5.904 -3.356
-5.056 -2.711 4.292
Pa Al N
6 2 12
Direct
0.509 0.916 0.688
0.009 0.688 0.916
0.459 0.393 0.607
0.959 0.607 0.393
0.009 0.084 0.312
0.509 0.312 0.084
0.012 0.178 0.822
0.512 0.822 0.178
0.235 0.666 0.647
0.735 0.647 0.666
0.205 0.401 0.902
0.705 0.902 0.401
0.935 0.007 0.993
0.681 0.226 0.774
0.181 0.774 0.226
0.435 0.993 0.007
0.205 0.098 0.599
0.705 0.599 0.098
0.235 0.353 0.334
0.735 0.334 0.353
```

## Properties
crystal system	orthorhombic
uncorrected energy	-9.759	eV/atom
calculated density	9.51	g/cm3
ΔE_f (raw)	-15.41	eV/f.u.


# 2
Computed, not measured: a relaxed YAl2In crystal at the PBE level of DFT.

```
YAl2In
1.0
3.609 0.017 0.000
-0.016 3.609 0.000
0.000 0.000 6.831
Y Al In
1 2 1
Direct
0.500 0.500 0.767
0.000 0.000 0.043
0.500 0.500 0.227
0.000 0.000 0.462
```

## Properties
crystal system	tetragonal
uncorrected energy	-4.371	eV/atom
ΔE_f	-0.20	eV per atom
calculated density	4.81	g/cm3


# 3
Computed, not measured: a relaxed La2Y7Tm2 crystal at the PBE level of DFT.

```
La2Y7Tm2
1.0
7.987 1.029 1.485
0.103 6.623 1.990
0.103 -0.463 6.900
La Y Tm
2 7 2
Direct
0.500 0.202 0.798
0.500 0.798 0.202
0.178 0.087 0.485
0.822 0.515 0.913
0.822 0.913 0.515
0.178 0.485 0.087
0.000 0.000 0.000
0.459 0.727 0.727
0.541 0.273 0.273
0.821 0.444 0.444
0.179 0.556 0.556
```

## Properties
crystal system	monoclinic
uncorrected energy	-5.658	eV/atom
ΔE_f	0.16	eV per atom
calculated density	5.54	g/cm3


# 4
Computed, not measured: a relaxed TaRe2AsW crystal at the PBE level of DFT.

```
TaRe2AsW
1.0
-0.009 3.914 -2.179
0.982 -2.192 -3.943
-4.377 -0.471 -0.828
Re As W Ta
2 1 1 1
Direct
0.000 0.000 0.500
0.500 0.000 0.000
0.000 0.000 0.000
0.500 0.500 0.500
0.000 0.500 0.000
```

## Properties
crystal system	tetragonal
uncorrected energy	-9.366	eV/atom
ΔE_f	1.50	eV per atom
calculated density	14.56	g/cm3


# 5
Computed, not measured: a relaxed TbSmZn crystal at the PBE level of DFT.

```
TbSmZn
1.0
-3.564 3.400 -0.789
-3.545 -2.401 5.672
4.899 6.482 5.805
Tb Zn Sm
4 4 4
Direct
0.750 0.999 0.122
0.250 0.499 0.378
0.250 0.001 0.878
0.750 0.501 0.622
0.750 0.748 0.375
0.250 0.248 0.125
0.250 0.252 0.625
0.750 0.752 0.875
0.750 0.499 0.128
0.250 0.999 0.372
0.250 0.501 0.872
0.750 0.001 0.628
```

## Properties
energy above the most stable polymorph in this dataset	0.705	eV per formula unit
crystal system	orthorhombic
uncorrected energy	-3.512	eV/atom
ΔE_f	0.03	eV per atom
calculated density	7.03	g/cm3


# 6
Computed, not measured: a relaxed LiAlTlBi2 crystal at the PBE level of DFT.

```
LiAlTlBi2
1.0
5.221 0.000 0.000
0.000 5.221 0.000
0.000 0.000 5.221
Tl Li Bi Al
1 1 2 1
Direct
0.000 0.500 0.000
0.000 0.000 0.000
0.000 0.000 0.500
0.500 0.000 0.000
0.500 0.500 0.500
```

## Properties
crystal system	tetragonal
uncorrected energy	-2.883	eV/atom
ΔE_f	0.27	eV per atom
calculated density	7.66	g/cm3


# 7
Computed, not measured: a relaxed Tc3AgP crystal at the PBE level of DFT.

```
Tc3AgP
1.0
-1.920 1.023 3.804
0.329 -4.175 1.289
3.925 0.850 1.753
P Tc Ag
1 3 1
Direct
0.000 0.000 0.000
0.000 0.500 0.000
0.000 0.000 0.500
0.500 0.000 0.000
0.500 0.500 0.500
```

## Properties
energy above the most stable polymorph in this dataset	0.000	eV per formula unit
crystal system	cubic
uncorrected energy	-7.273	eV/atom
ΔE_f	0.60	eV per atom
calculated density	8.54	g/cm3


# 8
Computed, not measured: a relaxed LaCdSe crystal at the PBE level of DFT.

```
LaCdSe
1.0
-0.893 -5.057 -0.135
3.930 -3.306 0.103
0.835 -2.869 4.179
Cd La Se
1 1 1
Direct
0.500 0.500 0.500
0.750 0.750 0.750
0.000 0.000 0.000
```

## Properties
energy above the most stable polymorph in this dataset	1.457	eV per formula unit
crystal system	cubic
uncorrected energy	-3.822	eV/atom
calculated density	5.72	g/cm3
ΔE_f (raw)	-2.14	eV/f.u.


# 9
Computed, not measured: a relaxed As3Au5 crystal at the PBE level of DFT.

```
As3Au5
1.0
8.253 0.000 0.000
-4.127 7.148 0.000
0.000 0.000 5.338
As Au
6 10
Direct
0.619 0.000 0.250
0.381 0.000 0.750
0.000 0.619 0.250
0.381 0.381 0.250
0.619 0.619 0.750
0.000 0.381 0.750
0.333 0.667 0.000
0.667 0.333 0.500
0.667 0.333 0.000
0.333 0.667 0.500
0.208 0.000 0.250
0.792 0.000 0.750
0.000 0.208 0.250
0.792 0.792 0.250
0.208 0.208 0.750
0.000 0.792 0.750
```

## Properties
energy above the most stable polymorph in this dataset	1.743	eV per formula unit
crystal system	hexagonal
uncorrected energy	-3.519	eV/atom
ΔE_f	0.27	eV per atom
calculated density	12.76	g/cm3


# 10
Computed, not measured: a relaxed KBe3Br crystal at the PBE level of DFT.

```
KBe3Br
1.0
-1.836 2.675 3.790
-4.612 -0.613 -1.802
-0.501 -4.167 2.698
Be K Br
3 1 1
Direct
0.000 0.500 0.000
0.000 0.000 0.500
0.500 0.000 0.000
0.500 0.500 0.500
0.000 0.000 0.000
```

## Properties
energy above the most stable polymorph in this dataset	0.000	eV per formula unit
crystal system	cubic
uncorrected energy	-1.336	eV/atom
calculated density	1.95	g/cm3
ΔE_f (raw)	7.27	eV/f.u.


# 11
Computed, not measured: a relaxed Pm2SmTm3S6 crystal at the PBE level of DFT.

```
Pm2SmTm3S6
1.0
-1.850 3.409 0.316
-1.629 -1.593 7.635
8.509 2.396 0.008
Pm Sm Tm S
2 1 3 6
Direct
0.833 0.666 0.666
0.167 0.334 0.334
0.500 0.000 0.000
0.500 0.500 0.000
0.833 0.167 0.666
0.167 0.833 0.334
0.330 0.928 0.660
0.662 0.594 0.325
0.670 0.072 0.340
0.996 0.259 0.992
0.004 0.741 0.008
0.338 0.406 0.675
```

## Properties
crystal system	monoclinic
uncorrected energy	-6.356	eV/atom
calculated density	7.32	g/cm3
ΔE_f (raw)	-23.87	eV/f.u.


# 12
Computed, not measured: a relaxed Ti12VSi6 crystal at the PBE level of DFT.

```
Ti12VSi6
1.0
-3.157 -0.057 6.298
3.570 -6.055 0.481
5.233 4.501 1.410
Ti V Si
12 1 6
Direct
0.806 0.579 0.448
0.448 0.806 0.579
0.579 0.448 0.806
0.194 0.421 0.552
0.552 0.194 0.421
0.421 0.552 0.194
0.056 0.002 0.334
0.998 0.666 0.944
0.666 0.944 0.998
0.944 0.998 0.666
0.002 0.334 0.056
0.334 0.056 0.002
0.000 0.000 0.000
0.682 0.874 0.345
0.655 0.318 0.126
0.126 0.655 0.318
0.318 0.126 0.655
0.345 0.682 0.874
0.874 0.345 0.682
```

## Properties
crystal system	trigonal
uncorrected energy	-7.252	eV/atom
calculated density	3.94	g/cm3
ΔE_f (raw)	-1.39	eV/f.u.


> Which of these has the lowest uncorrected energy?

Pa3AlN6


> Among the records above, which one has the highest uncorrected energy?

KBe3Br